No. 1
## Cu3SnPt (PBE)

Data for an optimized crystal structure of Cu3SnPt.

Results
Crystal system: cubic
Formation energy from the elements: 0.5891 eV/atom
Spin magnetization: 0.0 μB per formula unit
Space-group type: Pm-3m

abc: 4.719 4.719 4.719
angles: 90.00 90.00 90.00
Atoms (fractional coordinates):
Pt: 0.000 0.000 0.000
Cu: 0.000 0.000 0.500
Cu: 0.500 0.000 0.000
Cu: 0.000 0.500 0.000
Sn: 0.500 0.500 0.500

=====

No. 2
## Cu2Sn2Pt (PBE)

Data for an optimized crystal structure of Cu2Sn2Pt.

Results
Crystal system: tetragonal
Formation energy from the elements: -0.0323 eV/atom
Spin magnetization: 0.0 μB per formula unit
Space-group type: P4/mbm

abc: 6.778 6.778 3.861
angles: 90.00 90.00 90.00
Atoms (fractional coordinates):
Sn: 0.176 0.676 0.500
Sn: 0.324 0.176 0.500
Sn: 0.676 0.824 0.500
Sn: 0.824 0.324 0.500
Cu: 0.371 0.871 0.000
Cu: 0.629 0.129 0.000
Cu: 0.129 0.371 0.000
Cu: 0.871 0.629 0.000
Pt: 0.000 0.000 0.000
Pt: 0.500 0.500 0.000

=====

No. 3
## Cu2SnPt2 (PBE)

Data for an optimized crystal structure of Cu2SnPt2.

Results
Crystal system: tetragonal
Formation energy from the elements: -0.1366 eV/atom
Spin magnetization: 0.0 μB per formula unit
Space-group type: P4/mbm

abc: 7.310 7.310 3.004
angles: 90.00 90.00 90.00
Atoms (fractional coordinates):
Cu: 0.844 0.344 0.500
Cu: 0.156 0.656 0.500
Cu: 0.656 0.844 0.500
Cu: 0.344 0.156 0.500
Pt: 0.140 0.360 0.000
Pt: 0.360 0.860 0.000
Pt: 0.860 0.640 0.000
Pt: 0.640 0.140 0.000
Sn: 0.500 0.500 0.000
Sn: 0.000 0.000 0.000

=====

No. 4
## Cu2SnPt2 (PBE)

Data for an optimized crystal structure of Cu2SnPt2.

Results
Crystal system: tetragonal
Formation energy from the elements: -0.0908 eV/atom
Spin magnetization: 0.0 μB per formula unit
Space-group type: I4/mmm

abc: 3.488 3.488 7.196
angles: 75.98 75.98 90.00
Atoms (fractional coordinates):
Cu: 0.250 0.750 0.500
Cu: 0.750 0.250 0.500
Pt: 0.605 0.605 0.791
Pt: 0.395 0.395 0.209
Sn: 0.000 0.000 0.000

=====

No. 5
## Cu5SnPt6 (PBE)

Data for an optimized crystal structure of Cu5SnPt6.

Results
Crystal system: monoclinic
Formation energy from the elements: -0.2447 eV/atom
Spin magnetization: 0.0 μB per formula unit
Space-group type: C2/m

abc: 4.019 7.308 7.308
angles: 111.39 105.89 105.89
Atoms (fractional coordinates):
Pt: 0.239 0.739 0.739
Pt: 0.746 0.915 0.578
Pt: 0.746 0.578 0.915
Pt: 0.254 0.422 0.085
Pt: 0.254 0.085 0.422
Pt: 0.761 0.261 0.261
Cu: 0.500 0.500 0.500
Cu: 0.500 0.829 0.171
Cu: 0.500 0.171 0.829
Cu: 0.000 0.670 0.330
Cu: 0.000 0.330 0.670
Sn: 0.000 0.000 0.000

=====

No. 6
## CuSn2Pt9 (PBE)

Data for an optimized crystal structure of CuSn2Pt9.

Results
Crystal system: tetragonal
Formation energy from the elements: -0.2859 eV/atom
Spin magnetization: 0.0 μB per formula unit
Space-group type: P4/mmm

abc: 4.016 4.016 12.011
angles: 90.00 90.00 90.00
Atoms (fractional coordinates):
Pt: 0.000 0.500 0.500
Pt: 0.500 0.000 0.843
Pt: 0.000 0.500 0.843
Pt: 0.500 0.500 0.000
Pt: 0.500 0.500 0.669
Pt: 0.500 0.500 0.331
Pt: 0.000 0.500 0.157
Pt: 0.500 0.000 0.500
Pt: 0.500 0.000 0.157
Sn: 0.000 0.000 0.676
Sn: 0.000 0.000 0.324
Cu: 0.000 0.000 0.000

=====

No. 7
## Cu3SnPt4 (PBE)

Data for an optimized crystal structure of Cu3SnPt4.

Results
Crystal system: tetragonal
Formation energy from the elements: -0.2891 eV/atom
Spin magnetization: 0.0 μB per formula unit
Space-group type: I4/mmm

abc: 4.068 4.068 7.748
angles: 105.24 105.22 90.00
Atoms (fractional coordinates):
Pt: 0.370 0.370 0.739
Pt: 0.630 0.630 0.261
Pt: 0.130 0.130 0.261
Pt: 0.870 0.870 0.739
Cu: 0.249 0.749 0.497
Cu: 0.000 0.500 0.000
Cu: 0.751 0.251 0.503
Sn: 0.500 0.000 0.000

=====

No. 8
## CuSnPt5 (PBE)

Data for an optimized crystal structure of CuSnPt5.

Results
Crystal system: monoclinic
Formation energy from the elements: -0.0421 eV/atom
Spin magnetization: 0.0 μB per formula unit
Space-group type: C2/c

abc: 8.462 8.462 8.373
angles: 41.26 41.26 67.01
Atoms (fractional coordinates):
Pt: 0.801 0.199 0.250
Pt: 0.288 0.177 0.906
Pt: 0.330 0.796 0.982
Pt: 0.199 0.801 0.750
Pt: 0.823 0.712 0.594
Pt: 0.796 0.330 0.482
Pt: 0.670 0.204 0.018
Pt: 0.712 0.823 0.094
Pt: 0.177 0.288 0.406
Pt: 0.204 0.670 0.518
Cu: 0.000 0.000 0.500
Cu: 0.000 0.000 0.000
Sn: 0.483 0.517 0.750
Sn: 0.517 0.483 0.250

=====

No. 9
## Cu2SnPt2 (PBE)

Data for an optimized crystal structure of Cu2SnPt2.

Results
Crystal system: tetragonal
Formation energy from the elements: -0.1116 eV/atom
Spin magnetization: 0.0 μB per formula unit
Space-group type: P4/mbm

abc: 7.353 7.353 2.920
angles: 90.00 90.00 90.00
Atoms (fractional coordinates):
Cu: 0.621 0.121 0.000
Cu: 0.379 0.879 0.000
Cu: 0.879 0.621 0.000
Cu: 0.121 0.379 0.000
Pt: 0.327 0.173 0.500
Pt: 0.827 0.327 0.500
Pt: 0.173 0.673 0.500
Pt: 0.673 0.827 0.500
Sn: 0.500 0.500 0.000
Sn: 0.000 0.000 0.000

=====

No. 10
## CuSn2Pt (PBE)

Data for an optimized crystal structure of CuSn2Pt.

Results
Crystal system: cubic
Formation energy from the elements: -0.0461 eV/atom
Spin magnetization: 0.0 μB per formula unit
Space-group type: Fm-3m

abc: 4.773 4.773 4.773
angles: 60.00 60.00 60.00
Atoms (fractional coordinates):
Sn: 0.250 0.250 0.250
Sn: 0.750 0.750 0.750
Pt: 0.500 0.500 0.500
Cu: 0.000 0.000 0.000